i:
# SmEr2Au

An optimized crystal structure of SmEr2Au (GGA-PBE, Alexandria).

a b c (Å): 3.6928 3.6928 29.8093
angles (deg): 90.00 90.00 120.00
Last column: nearest neighbours and their distance in Å.
Space group R-3m (No. 166, hexagonal axes)
Inequivalent atoms, fractional coordinates:
Sm: 0.0000 0.0000 0.0000 x3  6 Er 3.62, 6 Sm 3.69
Er: 0.0000 0.0000 0.2351 x6  3 Au 2.95
Au: 0.0000 0.0000 0.5000 x3  6 Er 2.95

Summary:
D(E_F): 15.7 states/eV per cell

ii:
# SmEr2Au

An optimized crystal structure of SmEr2Au (GGA-PBE, Alexandria).

a b c (Å): 3.7369 3.7369 29.3162
angles (deg): 90.00 90.00 120.00
Last column: nearest neighbours and their distance in Å.
Space group R3m (No. 160, hexagonal axes)
Inequivalent atoms, fractional coordinates:
Sm: 0.0000 0.0000 0.0000 x3  6 Er 3.58-3.64, 6 Sm 3.74
Er: 0.0000 0.0000 0.5667 x3  3 Au 2.95
Er: 0.0000 0.0000 0.7641 x3  3 Au 2.92
Au: 0.0000 0.0000 0.1647 x3  6 Er 2.92-2.95

Summary:
D(E_F): 15.4 states/eV per cell

Which one sits at the bottom of the stability order? i does.

i:
# SmErAu

An optimized crystal structure of SmErAu (GGA-PBE, Alexandria).

a b c (Å): 7.3445 4.9365 13.5184
angles (deg): 90.00 92.52 90.00
Last column: nearest neighbours and their distance in Å.
Space group P2_1/m (No. 11)
Inequivalent atoms, fractional coordinates:
Sm: 0.0034 0.2500 0.2842 x2  3 Au 2.94-3.23
Sm: 0.3835 0.2500 0.0813 x2  1 Au 2.93
Sm: 0.4817 0.2500 0.3764 x2  5 Au 3.11-3.27
Er: 0.0395 0.7500 0.0870 x2  4 Au 2.84-3.11
Er: 0.1393 0.7500 0.4548 x2  4 Au 2.89-2.99
Er: 0.3394 0.2500 0.7819 x2  4 Au 2.86-3.11
Au: 0.2174 0.7500 0.9029 x2  5 Er 2.86-3.11, 2 Sm 2.93-2.94
Au: 0.2543 0.2500 0.5651 x2  4 Er 2.89-2.99, 3 Sm 3.11-3.22
Au: 0.2809 0.7500 0.2569 x2  3 Er 2.84-2.91

Summary:
D(E_F): 17.1 states/eV per cell

ii:
# SmErAu

An optimized crystal structure of SmErAu (GGA-PBE, Alexandria).

a b c (Å): 3.6120 3.6120 12.4264
angles (deg): 90.00 90.00 90.00
Last column: nearest neighbours and their distance in Å.
Space group I4mm (No. 107)
Inequivalent atoms, fractional coordinates:
Sm: 0.0000 0.0000 0.0000 x2  4 Au 3.23, 1 Er 3.60, 4 Sm 3.61
Er: 0.0000 0.0000 0.2893 x2  4 Au 3.03
Au: 0.0000 0.0000 0.6587 x2  4 Er 3.03, 4 Sm 3.23

Summary:
D(E_F): 7.0 states/eV per cell

iii:
# SmErAu

An optimized crystal structure of SmErAu (GGA-PBE, Alexandria).

a b c (Å): 7.2163 4.9807 8.9551
angles (deg): 90.00 90.00 90.00
Last column: nearest neighbours and their distance in Å.
Space group Pnma (No. 62)
Inequivalent atoms, fractional coordinates:
Sm: 0.0128 0.2500 0.1770 x4  3 Au 3.01-3.21
Er: 0.1484 0.2500 0.5806 x4  4 Au 2.88-3.05
Au: 0.2505 0.2500 0.9011 x4  4 Er 2.88-3.05, 3 Sm 3.01-3.21

Summary:
D(E_F): 12.5 states/eV per cell

iv:
# SmErAu

An optimized crystal structure of SmErAu (GGA-PBE, Alexandria).

a b c (Å): 7.0784 7.0784 7.0784
angles (deg): 90.00 90.00 90.00
Last column: nearest neighbours and their distance in Å.
Space group F-43m (No. 216)
Inequivalent atoms, fractional coordinates:
Sm: 0.0000 0.0000 0.0000 x4  4 Au 3.07
Er: 0.0000 0.0000 0.5000 x4  4 Au 3.07
Au: 0.2500 0.2500 0.7500 x4  4 Er 3.07, 4 Sm 3.07

Summary:
D(E_F): 16.1 states/eV per cell

Which one sits at the bottom of the stability order? iv does.

i:
# SrErAu

An optimized crystal structure of SrErAu (GGA-PBE, Alexandria).

a b c (Å): 4.9211 4.9211 4.6487
angles (deg): 90.00 90.00 120.00
Last column: nearest neighbours and their distance in Å.
Space group P3m1 (No. 156)
Inequivalent atoms, fractional coordinates:
Sr: 0.0000 0.0000 0.0000 x1  6 Au 3.60-3.75, 6 Er 3.67
Er: 0.6667 0.3333 0.4989 x1  3 Au 2.84
Au: 0.3333 0.6667 0.5249 x1  3 Er 2.84

Summary:
D(E_F): 2.6 states/eV per cell

ii:
# SrErAu

An optimized crystal structure of SrErAu (GGA-PBE, Alexandria).

a b c (Å): 3.7472 3.7472 13.1835
angles (deg): 90.00 90.00 90.00
Last column: nearest neighbours and their distance in Å.
Space group I4mm (No. 107)
Inequivalent atoms, fractional coordinates:
Sr: 0.0000 0.0000 0.0000 x2  4 Au 3.47, 1 Er 3.56, 4 Sr 3.75
Er: 0.0000 0.0000 0.2698 x2  4 Au 2.96
Au: 0.0000 0.0000 0.6701 x2  4 Er 2.96

Summary:
D(E_F): 3.8 states/eV per cell

Which one sits at the bottom of the stability order? i does.

i:
# TbEr2Au

An optimized crystal structure of TbEr2Au (GGA-PBE, Alexandria).

a b c (Å): 3.6149 3.6149 32.4752
angles (deg): 90.00 90.00 120.00
Last column: nearest neighbours and their distance in Å.
Space group R-3m (No. 166, hexagonal axes)
Inequivalent atoms, fractional coordinates:
Tb: 0.0000 0.0000 0.0000 x3  2 Er 3.39, 6 Tb 3.61
Er: 0.0000 0.0000 0.1045 x6  3 Au 2.90
Au: 0.0000 0.0000 0.5000 x3  6 Er 2.90

Summary:
D(E_F): 15.6 states/eV per cell

ii:
# TbEr2Au

An optimized crystal structure of TbEr2Au (GGA-PBE, Alexandria).

a b c (Å): 3.7162 3.7162 29.2028
angles (deg): 90.00 90.00 120.00
Last column: nearest neighbours and their distance in Å.
Space group R3m (No. 160, hexagonal axes)
Inequivalent atoms, fractional coordinates:
Tb: 0.0000 0.0000 0.0000 x3  6 Er 3.55-3.59, 6 Tb 3.72
Er: 0.0000 0.0000 0.5680 x3  3 Au 2.96
Er: 0.0000 0.0000 0.7634 x3  3 Au 2.93
Au: 0.0000 0.0000 0.1650 x3  6 Er 2.93-2.96

Summary:
D(E_F): 14.2 states/eV per cell

Which one sits at the bottom of the stability order? i does.

i:
# Tb2ErAu2

An optimized crystal structure of Tb2ErAu2 (GGA-PBE, Alexandria).

a b c (Å): 8.1864 8.1864 3.7865
angles (deg): 90.00 90.00 90.00
Last column: nearest neighbours and their distance in Å.
Space group P4/mbm (No. 127)
Inequivalent atoms, fractional coordinates:
Tb: 0.1635 0.3365 0.0000 x4  6 Au 3.02-3.09
Er: 0.0000 0.0000 0.5000 x2  4 Au 3.20
Au: 0.1330 0.6330 0.5000 x4  6 Tb 3.02-3.09, 1 Au 3.08, 2 Er 3.20

Summary:
D(E_F): 12.4 states/eV per cell

ii:
# Tb2ErAu2

An optimized crystal structure of Tb2ErAu2 (GGA-PBE, Alexandria).

a b c (Å): 4.0350 6.9921 9.3135
angles (deg): 90.00 90.00 90.00
Last column: nearest neighbours and their distance in Å.
Space group Immm (No. 71)
Inequivalent atoms, fractional coordinates:
Tb: 0.0000 0.0000 0.1958 x4  4 Au 3.09
Er: 0.0000 0.5000 0.0000 x2  4 Au 2.87
Au: 0.0000 0.2914 0.5000 x4  2 Er 2.87, 1 Au 2.92, 4 Tb 3.09

Summary:
D(E_F): 11.7 states/eV per cell

Which one sits at the bottom of the stability order? ii does.

i:
# Er8TcAu2

An optimized crystal structure of Er8TcAu2 (GGA-PBE, Alexandria).

a b c (Å): 17.1321 5.1037 6.8297
angles (deg): 90.00 108.13 90.00
Last column: nearest neighbours and their distance in Å.
Space group C2/m (No. 12)
Inequivalent atoms, fractional coordinates:
Er: 0.0281 0.0000 0.2955 x4  1 Au 2.93, 2 Tc 3.02, 1 Er 3.23
Er: 0.0924 0.5000 0.9359 x4  1 Tc 2.90
Er: 0.1622 0.5000 0.4619 x4  1 Tc 2.87, 3 Au 2.89-3.18
Er: 0.1971 0.0000 0.8002 x4  1 Au 2.84
Tc: 0.0000 0.5000 0.5000 x2  8 Er 2.87-3.02
Au: 0.1847 0.0000 0.2057 x4  3 Er 2.84-2.93

Summary:
D(E_F): 20.5 states/eV per cell

ii:
# Er8TcAu2

An optimized crystal structure of Er8TcAu2 (GGA-PBE, Alexandria).

a b c (Å): 8.2043 13.7267 5.6575
angles (deg): 90.00 112.36 90.00
Last column: nearest neighbours and their distance in Å.
Space group Cm (No. 8)
Inequivalent atoms, fractional coordinates:
Er: 0.0000 0.0000 0.0000 x2  1 Tc 2.79
Er: 0.0696 0.3841 0.7927 x4  2 Au 2.91-2.97, 1 Tc 3.11, 2 Er 3.18-3.20
Er: 0.1480 0.1169 0.5718 x4  2 Au 2.92-3.00, 1 Tc 3.18, 2 Er 3.20-3.21
Er: 0.2214 0.5000 0.3840 x2  1 Tc 2.81
Er: 0.3558 0.2028 0.1908 x4  1 Tc 2.85, 2 Au 3.12-3.14
Tc: 0.3605 0.0000 0.2975 x2  6 Er 2.79-3.11
Au: 0.3639 0.2996 0.6971 x4  8 Er 2.91-3.24

Summary:
D(E_F): 23.9 states/eV per cell

Which one sits at the bottom of the stability order? ii does.